[1]
A plane-wave DFT calculation with PBE-GGA was carried out for Li12LaAg6 after structural relaxation.

```
data_Li12LaAg6
_chemical_formula_sum 'Li36 La3 Ag18'
_space_group_name_H-M_alt 'R -3 m'
_space_group_IT_number 166
_space_group_name_Hall '-R 3 2"'
_cell_length_a 11.5096
_cell_length_b 11.5096
_cell_length_c 9.7524
_cell_angle_alpha 90.00
_cell_angle_beta 90.00
_cell_angle_gamma 120.00
loop_
_atom_site_label
_atom_site_fract_x
_atom_site_fract_y
_atom_site_fract_z
Li1 0.0000 0.3891 0.0000
Li2 0.0909 0.1819 0.8490
La1 0.0000 0.0000 0.5000
Ag1 0.0082 0.5041 0.7627
```

Computed properties:
Calculated formation energy   -0.074 eV/atom
Magnetic moment   0.000 Bohr magnetons per cell

=====

[2]
A plane-wave DFT calculation with PBE-GGA was carried out for La3ZrSn after structural relaxation.

```
data_La3ZrSn
_chemical_formula_sum 'La3 Zr1 Sn1'
_space_group_name_H-M_alt 'P m -3 m'
_space_group_IT_number 221
_space_group_name_Hall '-P 4 2 3'
_cell_length_a 5.9757
_cell_length_b 5.9757
_cell_length_c 5.9757
_cell_angle_alpha 90.00
_cell_angle_beta 90.00
_cell_angle_gamma 90.00
loop_
_atom_site_label
_atom_site_fract_x
_atom_site_fract_y
_atom_site_fract_z
La1 0.0000 0.0000 0.5000
Zr1 0.5000 0.5000 0.5000
Sn1 0.0000 0.0000 0.0000
```

Computed properties:
Distance to the lowest polymorph of the same formula   1.721 eV per formula unit
Calculated formation energy   0.598 eV/atom
Magnetic moment   0.000 Bohr magnetons per cell

=====

[3]
A plane-wave DFT calculation with PBE-GGA was carried out for Ce3Tm2ThAs6 after structural relaxation.

```
data_Ce3Tm2ThAs6
_chemical_formula_sum 'Ce6 Tm4 Th2 As12'
_space_group_name_H-M_alt 'C 1 2/m 1'
_space_group_IT_number 12
_cell_length_a 7.2294
_cell_length_b 12.5270
_cell_length_c 7.2510
_cell_angle_alpha 90.00
_cell_angle_beta 109.45
_cell_angle_gamma 90.00
loop_
_space_group_symop_operation_xyz
'x,y,z'
'-x,-y,-z'
'-x,y,-z'
'x,-y,z'
'x+1/2,y+1/2,z'
'-x+1/2,-y+1/2,-z'
'-x+1/2,y+1/2,-z'
'x+1/2,-y+1/2,z'
loop_
_atom_site_label
_atom_site_fract_x
_atom_site_fract_y
_atom_site_fract_z
Ce1 0.0000 0.0000 0.0000
Ce2 0.0000 0.3348 0.0000
Tm1 0.0000 0.1671 0.5000
Th1 0.0000 0.5000 0.5000
As1 0.2414 0.0000 0.7431
As2 0.2485 0.1697 0.2549
```

Computed properties:
Calculated formation energy   -1.448 eV/atom
Magnetic moment   4.450 Bohr magnetons per cell

=====

[4]
A plane-wave DFT calculation with PBE-GGA was carried out for MgGaAg after structural relaxation.

```
data_MgGaAg
_chemical_formula_sum 'Mg2 Ga2 Ag2'
_space_group_name_H-M_alt 'P m m a'
_space_group_IT_number 51
_cell_length_a 4.6205
_cell_length_b 3.0520
_cell_length_c 7.9946
_cell_angle_alpha 90.00
_cell_angle_beta 90.00
_cell_angle_gamma 90.00
loop_
_space_group_symop_operation_xyz
'x,y,z'
'-x,-y,-z'
'-x+1/2,-y,z'
'x+1/2,y,-z'
'x+1/2,-y,-z'
'-x+1/2,y,z'
'-x,y,-z'
'x,-y,z'
loop_
_atom_site_label
_atom_site_fract_x
_atom_site_fract_y
_atom_site_fract_z
Mg1 0.2500 0.0000 0.2277
Ga1 0.2500 0.5000 0.5760
Ag1 0.2500 0.5000 0.9027
```

Computed properties:
Calculated formation energy   -0.147 eV/atom
Magnetic moment   0.000 Bohr magnetons per cell

=====

[5]
A plane-wave DFT calculation with PBE-GGA was carried out for Pr4Te2IrBr after structural relaxation.

```
data_Pr4Te2IrBr
_chemical_formula_sum 'Pr4 Te2 Ir1 Br1'
_space_group_name_H-M_alt 'P 1 2/m 1'
_space_group_IT_number 10
_cell_length_a 7.7569
_cell_length_b 4.2924
_cell_length_c 7.8357
_cell_angle_alpha 90.00
_cell_angle_beta 107.96
_cell_angle_gamma 90.00
loop_
_space_group_symop_operation_xyz
'x,y,z'
'-x,-y,-z'
'-x,y,-z'
'x,-y,z'
loop_
_atom_site_label
_atom_site_fract_x
_atom_site_fract_y
_atom_site_fract_z
Pr1 0.2107 0.0000 0.2108
Pr2 0.2325 0.5000 0.7635
Te1 0.0000 0.0000 0.5000
Te2 0.5000 0.5000 0.5000
Ir1 0.0000 0.5000 0.0000
Br1 0.5000 0.0000 0.0000
```

Computed properties:
Raw formation energy   -1.195 eV per atom
Magnetic moment   0.000 Bohr magnetons per cell

=====

[6]
A plane-wave DFT calculation with PBE-GGA was carried out for Dy6AlSi2 after structural relaxation.

```
data_Dy6AlSi2
_chemical_formula_sum 'Dy24 Al4 Si8'
_space_group_name_H-M_alt 'I m m m'
_space_group_IT_number 71
_space_group_name_Hall '-I 2 2'
_cell_length_a 9.4754
_cell_length_b 9.6021
_cell_length_c 10.1770
_cell_angle_alpha 90.00
_cell_angle_beta 90.00
_cell_angle_gamma 90.00
loop_
_atom_site_label
_atom_site_fract_x
_atom_site_fract_y
_atom_site_fract_z
Dy1 0.0000 0.2001 0.2432
Dy2 0.2061 0.5000 0.1778
Dy3 0.2285 0.3180 0.5000
Al1 0.0000 0.0000 0.0000
Al2 0.0000 0.0000 0.5000
Si1 0.0000 0.3664 0.0000
Si2 0.0000 0.5000 0.3835
```

Computed properties:
Raw formation energy   -0.507 eV per atom
Magnetic moment   0.000 Bohr magnetons per cell

=====

[7]
A plane-wave DFT calculation with PBE-GGA was carried out for Y12Er5Th2 after structural relaxation.

```
data_Y12Er5Th2
_chemical_formula_sum 'Y12 Er5 Th2'
_space_group_name_H-M_alt 'P -1'
_space_group_IT_number 2
_cell_length_a 6.1786
_cell_length_b 9.4137
_cell_length_c 11.2465
_cell_angle_alpha 83.14
_cell_angle_beta 79.49
_cell_angle_gamma 70.89
loop_
_space_group_symop_operation_xyz
'x,y,z'
'-x,-y,-z'
loop_
_atom_site_label
_atom_site_fract_x
_atom_site_fract_y
_atom_site_fract_z
Y1 0.0499 0.1077 0.1864
Y2 0.1045 0.2139 0.8697
Y3 0.1578 0.3142 0.5504
Y4 0.3159 0.6323 0.6078
Y5 0.3688 0.7367 0.2904
Y6 0.4225 0.8371 0.9728
Er1 0.0000 0.0000 0.5000
Er2 0.2115 0.4223 0.2332
Er3 0.4737 0.9491 0.6556
Th1 0.2625 0.5247 0.9242
```

Computed properties:
Distance to the lowest polymorph of the same formula   0.000 eV per formula unit
Calculated formation energy   0.027 eV/atom
Magnetic moment   0.000 Bohr magnetons per cell

=====

[8]
A plane-wave DFT calculation with PBE-GGA was carried out for SrReAsBr2 after structural relaxation.

```
data_SrReAsBr2
_chemical_formula_sum 'Sr1 Re1 As1 Br2'
_space_group_name_H-M_alt 'P 4/m m m'
_space_group_IT_number 123
_space_group_name_Hall '-P 4 2'
_cell_length_a 5.3209
_cell_length_b 5.3209
_cell_length_c 4.7795
_cell_angle_alpha 90.00
_cell_angle_beta 90.00
_cell_angle_gamma 90.00
loop_
_atom_site_label
_atom_site_fract_x
_atom_site_fract_y
_atom_site_fract_z
Sr1 0.0000 0.0000 0.0000
Re1 0.5000 0.5000 0.5000
As1 0.5000 0.5000 0.0000
Br1 0.0000 0.5000 0.5000
```

Computed properties:
Distance to the lowest polymorph of the same formula   0.000 eV per formula unit
Raw formation energy   -0.199 eV per atom
Magnetic moment   0.466 Bohr magnetons per cell

=====

[9]
A plane-wave DFT calculation with PBE-GGA was carried out for Tb6SmEr2Sc3 after structural relaxation.

```
data_Tb6SmEr2Sc3
_chemical_formula_sum 'Tb12 Sm2 Er4 Sc6'
_space_group_name_H-M_alt 'C 1 2/m 1'
_space_group_IT_number 12
_cell_length_a 6.0561
_cell_length_b 10.4822
_cell_length_c 11.4623
_cell_angle_alpha 90.00
_cell_angle_beta 100.11
_cell_angle_gamma 90.00
loop_
_space_group_symop_operation_xyz
'x,y,z'
'-x,-y,-z'
'-x,y,-z'
'x,-y,z'
'x+1/2,y+1/2,z'
'-x+1/2,-y+1/2,-z'
'-x+1/2,y+1/2,-z'
'x+1/2,-y+1/2,z'
loop_
_atom_site_label
_atom_site_fract_x
_atom_site_fract_y
_atom_site_fract_z
Tb1 0.2471 0.0000 0.2408
Tb2 0.2466 0.3332 0.2407
Sm1 0.0000 0.0000 0.5000
Er1 0.0000 0.3334 0.5000
Sc1 0.0000 0.1667 0.0000
Sc2 0.0000 0.5000 0.0000
```

Computed properties:
Calculated formation energy   0.043 eV/atom
Magnetic moment   0.000 Bohr magnetons per cell

=====

[10]
A plane-wave DFT calculation with PBE-GGA was carried out for PmNdGdSc after structural relaxation.

```
data_PmNdGdSc
_chemical_formula_sum 'Pm4 Nd4 Gd4 Sc4'
_space_group_name_H-M_alt 'F -4 3 m'
_space_group_IT_number 216
_space_group_name_Hall 'F -4 2 3'
_cell_length_a 7.9703
_cell_length_b 7.9703
_cell_length_c 7.9703
_cell_angle_alpha 90.00
_cell_angle_beta 90.00
_cell_angle_gamma 90.00
loop_
_atom_site_label
_atom_site_fract_x
_atom_site_fract_y
_atom_site_fract_z
Pm1 0.0000 0.0000 0.0000
Nd1 0.2500 0.2500 0.7500
Gd1 0.2500 0.2500 0.2500
Sc1 0.0000 0.0000 0.5000
```

Computed properties:
Calculated formation energy   0.129 eV/atom
Magnetic moment   32.804 Bohr magnetons per cell

=====

[11]
A plane-wave DFT calculation with PBE-GGA was carried out for LiTiB after structural relaxation.

```
data_LiTiB
_chemical_formula_sum 'Li4 Ti4 B4'
_space_group_name_H-M_alt 'F -4 3 m'
_space_group_IT_number 216
_space_group_name_Hall 'F -4 2 3'
_cell_length_a 5.2725
_cell_length_b 5.2725
_cell_length_c 5.2725
_cell_angle_alpha 90.00
_cell_angle_beta 90.00
_cell_angle_gamma 90.00
loop_
_atom_site_label
_atom_site_fract_x
_atom_site_fract_y
_atom_site_fract_z
Li1 0.0000 0.0000 0.0000
Ti1 0.0000 0.0000 0.5000
B1 0.2500 0.2500 0.2500
```

Computed properties:
Distance to the lowest polymorph of the same formula   1.265 eV per formula unit
Calculated formation energy   0.010 eV/atom
Magnetic moment   0.000 Bohr magnetons per cell